Compound: LiAl2Cu5
Source: the Open Quantum Materials Database
Functional: PBE
Structure: optimized geometry

Cell lengths 4.1266, 4.1266, 5.8394 Å; angles 90.00, 90.00, 90.00 degrees
Fractional positions:
Li 0.0000 0.0000 0.0000
Al 0.0000 0.0000 0.5000
Al 0.5000 0.5000 0.0000
Cu 0.0000 0.5000 0.2483
Cu 0.0000 0.5000 0.7517
Cu 0.5000 0.0000 0.2483
Cu 0.5000 0.0000 0.7517
Cu 0.5000 0.5000 0.5000

The calculated total energy is -29.5 eV per formula unit. The calculation puts the volume at 99.44 Å³/f.u.